[1]
Cs12Cd5Hg3 after structural relaxation. Source: Alexandria, functional PBE-GGA.

Cell: 19.952 19.952 19.952 Å, 109.47 109.47 109.47°
Fractional coordinates of all 80 atoms:
Cs 0.599 0.874 0.426
Hg 0.375 0.750 0.625
Cs 0.327 0.774 0.401
Hg 0.750 0.875 0.625
Cs 0.074 0.173 0.448
Cs 0.874 0.599 0.926
Cs 0.426 0.374 0.599
Cd 0.375 0.250 0.125
Cd 0.375 0.125 0.750
Cd 0.500 0.500 0.000
Cs 0.401 0.274 0.327
Cs 0.052 0.426 0.827
Cs 0.626 0.052 0.226
Cs 0.374 0.426 0.099
Cs 0.827 0.901 0.274
Cs 0.274 0.874 0.948
Cs 0.726 0.126 0.052
Cd 0.500 0.500 0.500
Cs 0.599 0.726 0.673
Hg 0.625 0.250 0.375
Cs 0.774 0.327 0.901
Cs 0.374 0.948 0.774
Cs 0.552 0.226 0.126
Cs 0.099 0.173 0.226
Cd 0.500 0.000 0.000
Cd 0.625 0.750 0.875
Cd 0.000 0.000 0.500
Cd 0.625 0.875 0.250
Cs 0.327 0.552 0.426
Cs 0.626 0.574 0.901
Cs 0.274 0.401 0.827
Cs 0.173 0.099 0.726
Cs 0.226 0.552 0.626
Cs 0.448 0.774 0.874
Cs 0.901 0.827 0.774
Cs 0.448 0.673 0.074
Cd 0.500 0.000 0.500
Cs 0.948 0.374 0.274
Cd 0.125 0.375 0.250
Cs 0.173 0.074 0.948
Cs 0.574 0.626 0.401
Hg 0.375 0.625 0.250
Cs 0.774 0.448 0.374
Cs 0.901 0.074 0.626
Cs 0.574 0.948 0.673
Cd 0.000 0.500 0.500
Cs 0.401 0.126 0.574
Cs 0.926 0.827 0.552
Cs 0.874 0.274 0.448
Cs 0.948 0.574 0.173
Cd 0.250 0.375 0.625
Cd 0.750 0.625 0.375
Hg 0.250 0.125 0.375
Cd 0.000 0.000 0.000
Hg 0.125 0.875 0.750
Cs 0.126 0.401 0.074
Cs 0.673 0.226 0.599
Hg 0.875 0.750 0.125
Cs 0.827 0.926 0.052
Cs 0.426 0.052 0.327
Cs 0.926 0.099 0.874
Cs 0.726 0.599 0.173
Cs 0.052 0.626 0.726
Cs 0.126 0.726 0.552
Cd 0.125 0.750 0.375
Hg 0.625 0.375 0.750
Cs 0.099 0.926 0.374
Cd 0.875 0.625 0.750
Cd 0.875 0.250 0.625
Cs 0.552 0.327 0.926
Hg 0.250 0.625 0.875
Cs 0.226 0.673 0.099
Cs 0.074 0.901 0.126
Hg 0.875 0.125 0.250
Cd 0.250 0.875 0.125
Cd 0.750 0.125 0.875
Hg 0.125 0.250 0.875
Hg 0.750 0.375 0.125
Cs 0.673 0.448 0.574
Cd 0.000 0.500 0.000

Computed properties:
- Space-group type: Ia-3d (230)
- Volume: 6114.37 Å³ per cell
- Formation energy from the elements: 0.059 eV per atom

[2]
Cs3Cd2Hg7 after structural relaxation. Source: Alexandria, functional PBE-GGA.

Cell: 5.260 5.467 16.144 Å, 98.21 90.00 90.00°
Fractional coordinates of all 12 atoms:
Hg 0.500 0.924 0.833
Cs 0.500 0.500 0.000
Cs 0.000 0.811 0.640
Hg 0.000 0.336 0.827
Cs 0.000 0.189 0.360
Cd 0.500 0.611 0.260
Hg 0.500 0.076 0.167
Hg 0.000 0.000 0.000
Hg 0.000 0.664 0.173
Hg 0.500 0.270 0.549
Cd 0.500 0.389 0.740
Hg 0.500 0.730 0.451

Computed properties:
- Space-group type: P2/m (10)
- Volume: 459.43 Å³ per cell
- Formation energy from the elements: -0.178 eV per atom

[3]
Cs4CdHg2 after structural relaxation. Source: Alexandria, functional PBE-GGA.

Cell: 7.421 7.421 10.646 Å, 110.40 110.40 90.00°
Fractional coordinates of all 7 atoms:
Cs 0.788 0.788 0.575
Cd 0.000 0.000 0.000
Cs 0.000 0.500 0.000
Hg 0.417 0.417 0.834
Cs 0.212 0.212 0.425
Hg 0.583 0.583 0.166
Cs 0.500 0.000 0.000

Computed properties:
- Space-group type: I4/mmm (139)
- Volume: 510.06 Å³ per cell
- Formation energy from the elements: -0.066 eV per atom

[4]
CsCdHg4 after structural relaxation. Source: Alexandria, functional PBE-GGA.

Cell: 5.907 7.986 9.225 Å, 90.00 108.67 90.00°
Fractional coordinates of all 12 atoms:
Cs 0.398 0.750 0.795
Hg 0.616 0.750 0.232
Hg 0.775 0.556 0.551
Hg 0.225 0.444 0.449
Hg 0.775 0.944 0.551
Hg 0.000 0.500 0.000
Cd 0.127 0.750 0.254
Hg 0.000 0.000 0.000
Hg 0.384 0.250 0.768
Cs 0.602 0.250 0.205
Hg 0.225 0.056 0.449
Cd 0.873 0.250 0.746

Computed properties:
- Space-group type: Cmcm (63)
- Volume: 412.23 Å³ per cell
- Energy above the lowest structure with this stoichiometry: 0.000 eV/f.u.
- Formation energy from the elements: -0.141 eV per atom

[5]
CsCdHg after structural relaxation. Source: Alexandria, functional PBE-GGA.

Cell: 4.246 4.246 7.105 Å, 107.39 107.39 90.00°
Fractional coordinates of all 3 atoms:
Hg 0.708 0.708 0.416
Cd 0.291 0.291 0.582
Cs 0.001 0.001 0.002

Computed properties:
- Space-group type: I4mm (107)
- Volume: 116.10 Å³ per cell
- Energy above the lowest structure with this stoichiometry: 0.082 eV/f.u.
- Formation energy from the elements: -0.115 eV per atom

[6]
CsCdHg2 after structural relaxation. Source: Alexandria, functional PBE-GGA.

Cell: 5.238 5.238 7.032 Å, 68.14 68.14 60.00°
Fractional coordinates of all 4 atoms:
Cs 0.000 0.000 0.000
Hg 0.799 0.799 0.604
Cd 0.500 0.500 0.500
Hg 0.201 0.201 0.396

Computed properties:
- Space-group type: R-3m (166)
- Volume: 150.84 Å³ per cell
- Formation energy from the elements: -0.157 eV per atom